[1]
{"formula": "ZrSe2N", "functional": "PBE", "state": "relaxed", "lattice": [[-1.3153, -5.9981, 3.9934], [-2.7941, -6.7363, 0.6853], [0.8381, -7.1728, 1.2260]], "species": ["Se", "Se", "Zr", "N"], "frac_coords": [[0.9140, 0.9140, 0.9140], [0.0860, 0.0860, 0.0860], [0.5000, 0.5000, 0.5000], [0.0000, 0.0000, 0.0000]], "raw_formation_energy_ev_per_atom": 0.188, "space_group": "R-3m, No. 166", "n_ef_per_ev_atom": 0.973}

***

[2]
{"formula": "LiAcBiPt", "functional": "PBE", "state": "relaxed", "lattice": [[-2.2340, 2.3800, 4.0144], [-4.1182, -2.1242, 2.3020], [0.4348, -1.9901, 4.7562]], "species": ["Ac", "Bi", "Pt", "Li"], "frac_coords": [[0.0000, 0.0000, 0.0000], [0.5000, 0.5000, 0.5000], [0.2500, 0.2500, 0.2500], [0.7500, 0.7500, 0.7500]], "space_group": "F-43m, No. 216", "ef_ev_per_atom": -0.62, "n_ef_per_ev_atom": 0.649}

***

[3]
{"formula": "CdAs2RuSe", "functional": "PBE", "state": "relaxed", "lattice": [[-4.2774, 1.7447, -0.4446], [-1.6523, -4.2591, -0.8174], [-0.8567, -0.7128, 5.4456]], "species": ["Ru", "As", "As", "Se", "Cd"], "frac_coords": [[0.0000, 0.0000, 0.0000], [0.0000, 0.5000, 0.0000], [0.5000, 0.0000, 0.0000], [0.0000, 0.0000, 0.5000], [0.5000, 0.5000, 0.5000]], "raw_formation_energy_ev_per_atom": 0.324, "polymorph_energy_mev_per_atom": 0, "space_group": "P4/mmm, No. 123", "n_ef_per_ev_atom": 0.661}